[1]
Compound: Cr2CdSb
Source: the Alexandria database
Functional: SCAN
Structure: single point on PBEsol structure

a = 4.658 Å, b = 4.658 Å, c = 4.658 Å
α = 60.00°, β = 60.00°, γ = 60.00°
Atoms (fractional coordinates):
Sb: 0.250 0.250 0.250
Cr: 0.000 0.000 0.000
Cr: 0.750 0.750 0.750
Cd: 0.500 0.500 0.500

Values from the calculation:
Raw total energy: -25.885 eV/atom
Symmetry: F-43m (216)
Energy relative to the elements, uncorrected: 87 kJ/mol of formula units

[2]
Compound: CrCdSb2
Source: the Alexandria database
Functional: SCAN
Structure: single point on PBEsol structure

a = 3.836 Å, b = 4.831 Å, c = 4.831 Å
α = 100.60°, β = 90.00°, γ = 90.00°
Atoms (fractional coordinates):
Cd: 0.500 0.000 0.000
Sb: 0.000 0.500 0.000
Sb: 0.000 0.000 0.500
Cr: 0.500 0.500 0.500

Values from the calculation:
Raw total energy: -30.652 eV/atom
Symmetry: Cmmm (65)
Energy relative to the elements, uncorrected: 69 kJ/mol of formula units

[3]
Compound: ZnCr2CdSb
Source: the Alexandria database
Functional: SCAN
Structure: single point on PBEsol structure

a = 4.989 Å, b = 5.099 Å, c = 5.099 Å
α = 90.00°, β = 90.00°, γ = 90.00°
Atoms (fractional coordinates):
Cr: 0.000 0.000 0.500
Cr: 0.000 0.500 0.000
Zn: 0.500 0.000 0.000
Sb: 0.000 0.000 0.000
Cd: 0.500 0.500 0.500

Values from the calculation:
Raw total energy: -22.854 eV/atom
Symmetry: P4/mmm (123)
Energy relative to the elements, uncorrected: 356 kJ/mol of formula units

[4]
Compound: Sc2CrCd
Source: the Alexandria database
Functional: SCAN
Structure: single point on PBEsol structure

a = 3.240 Å, b = 4.886 Å, c = 5.459 Å
α = 107.13°, β = 107.26°, γ = 90.00°
Atoms (fractional coordinates):
Sc: 0.983 0.955 0.965
Sc: 0.761 0.281 0.523
Cd: 0.516 0.484 0.032
Cr: 0.240 0.780 0.480

Values from the calculation:
Raw total energy: -19.388 eV/atom
Symmetry: Cm (8)

[5]
Compound: Sc2CrCd
Source: the Alexandria database
Functional: SCAN
Structure: single point on PBEsol structure

a = 3.214 Å, b = 3.214 Å, c = 7.365 Å
α = 90.00°, β = 90.00°, γ = 90.00°
Atoms (fractional coordinates):
Sc: 0.000 0.000 0.281
Sc: 0.000 0.000 0.719
Cd: 0.500 0.500 0.000
Cr: 0.500 0.500 0.500

Values from the calculation:
Raw total energy: -19.469 eV/atom
Symmetry: P4/mmm (123)

[6]
Compound: Sc3CrCd
Source: the Alexandria database
Functional: SCAN
Structure: single point on PBEsol structure

a = 5.198 Å, b = 5.198 Å, c = 5.198 Å
α = 90.00°, β = 90.00°, γ = 90.00°
Atoms (fractional coordinates):
Sc: 0.000 0.500 0.000
Sc: 0.500 0.000 0.000
Sc: 0.000 0.000 0.500
Cr: 0.500 0.500 0.500
Cd: 0.000 0.000 0.000

Values from the calculation:
Raw total energy: -17.625 eV/atom
Symmetry: Pm-3m (221)

[7]
Compound: ScCr2Cd
Source: the Alexandria database
Functional: SCAN
Structure: single point on PBEsol structure

a = 3.431 Å, b = 4.141 Å, c = 5.123 Å
α = 113.84°, β = 109.56°, γ = 90.00°
Atoms (fractional coordinates):
Sc: 0.500 0.000 0.000
Cr: 0.752 0.752 0.504
Cr: 0.248 0.248 0.496
Cd: 0.000 0.500 0.000

Values from the calculation:
Raw total energy: -19.819 eV/atom
Symmetry: Immm (71)

[8]
Compound: ScCr2Cd
Source: the Alexandria database
Functional: SCAN
Structure: single point on PBEsol structure

a = 2.999 Å, b = 2.999 Å, c = 7.061 Å
α = 90.00°, β = 90.00°, γ = 90.00°
Atoms (fractional coordinates):
Cd: 0.500 0.500 0.783
Cr: 0.500 0.500 0.204
Cr: 0.000 0.000 0.050
Sc: 0.000 0.000 0.463

Values from the calculation:
Raw total energy: -20.336 eV/atom
Symmetry: P4mm (99)

[9]
Compound: ScCr2Cd
Source: the Alexandria database
Functional: SCAN
Structure: single point on PBEsol structure

a = 2.659 Å, b = 2.659 Å, c = 8.804 Å
α = 90.00°, β = 90.00°, γ = 97.82°
Atoms (fractional coordinates):
Cd: 0.500 0.500 0.000
Cr: 0.000 0.000 0.249
Cr: 0.000 0.000 0.751
Sc: 0.500 0.500 0.500

Values from the calculation:
Raw total energy: -19.701 eV/atom
Symmetry: Cmmm (65)

[10]
Compound: ScCrCd3
Source: the Alexandria database
Functional: SCAN
Structure: single point on PBEsol structure

a = 5.342 Å, b = 5.342 Å, c = 5.342 Å
α = 90.00°, β = 90.00°, γ = 90.00°
Atoms (fractional coordinates):
Cd: 0.000 0.000 0.500
Cd: 0.000 0.500 0.000
Cd: 0.500 0.000 0.000
Sc: 0.000 0.000 0.000
Cr: 0.500 0.500 0.500

Values from the calculation:
Raw total energy: -23.777 eV/atom
Symmetry: Pm-3m (221)

[11]
Compound: Cr3CdSe
Source: the Alexandria database
Functional: SCAN
Structure: single point on PBEsol structure

a = 4.490 Å, b = 4.490 Å, c = 4.490 Å
α = 90.00°, β = 90.00°, γ = 90.00°
Atoms (fractional coordinates):
Se: 0.000 0.000 0.000
Cd: 0.500 0.500 0.500
Cr: 0.500 0.000 0.000
Cr: 0.000 0.000 0.500
Cr: 0.000 0.500 0.000

Values from the calculation:
Raw total energy: -20.622 eV/atom
Symmetry: Pm-3m (221)
Energy relative to the elements, uncorrected: 245 kJ/mol of formula units

[12]
Compound: Cr2CdSe4
Source: the Alexandria database
Functional: SCAN
Structure: single point on PBEsol structure

a = 7.550 Å, b = 7.550 Å, c = 7.550 Å
α = 60.00°, β = 60.00°, γ = 60.00°
Atoms (fractional coordinates):
Cr: 0.625 0.625 0.625
Cr: 0.625 0.125 0.625
Cr: 0.625 0.625 0.125
Cr: 0.125 0.625 0.625
Se: 0.421 0.860 0.860
Se: 0.860 0.860 0.860
Se: 0.390 0.390 0.390
Se: 0.829 0.390 0.390
Se: 0.860 0.860 0.421
Se: 0.390 0.390 0.829
Se: 0.860 0.421 0.860
Se: 0.390 0.829 0.390
Cd: 0.000 0.000 0.000
Cd: 0.250 0.250 0.250

Values from the calculation:
Raw total energy: -21.932 eV/atom
Symmetry: Fd-3m (227)
Energy relative to the elements, uncorrected: -582 kJ/mol of formula units